First-principles (PBE) data for an optimized crystal structure of BeIBr3, as listed in Alexandria via LeMat-Bulk.

Computed properties:
Symmetry: Pm-3m
E_form (uncorrected) in eV per atom: -0.013

Cell lengths 4.993, 4.993, 4.993 Å; angles 90.00, 90.00, 90.00 degrees
Sites, in units of the cell vectors:
Be: 0.000 0.000 0.000
I: 0.500 0.500 0.500
Br: 0.000 0.000 0.500
Br: 0.000 0.500 0.000
Br: 0.500 0.000 0.000

First-principles (PBE) data for an optimized crystal structure of BeI2BrN, as listed in Alexandria via LeMat-Bulk.

Computed properties:
Symmetry: P4/mmm
Excess energy over the best structure of this formula in the dataset in eV/atom: 0.000
E_form (uncorrected) in eV per atom: 0.396

Cell lengths 8.115, 8.115, 2.932 Å; angles 90.00, 90.00, 90.00 degrees
Sites, in units of the cell vectors:
Be: 0.000 0.000 0.000
I: 0.000 0.500 0.000
I: 0.500 0.000 0.000
Br: 0.500 0.500 0.500
N: 0.000 0.000 0.500

First-principles (PBE) data for an optimized crystal structure of BeI2BrN, as listed in Alexandria via LeMat-Bulk.

Computed properties:
Symmetry: P4/mmm
Excess energy over the best structure of this formula in the dataset in eV/atom: 1.232
E_form (uncorrected) in eV per atom: 1.629

Cell lengths 6.660, 6.660, 3.661 Å; angles 90.00, 90.00, 90.00 degrees
Sites, in units of the cell vectors:
Be: 0.000 0.000 0.000
I: 0.000 0.500 0.500
I: 0.500 0.000 0.500
Br: 0.500 0.500 0.500
N: 0.500 0.500 0.000

Which value of E_form (uncorrected) does entry 2 give?
0.396 eV per atom